Na2UCrO8 PBE+U relaxed; final energy = -6.35 eV/atom; V = 163.7 Å³/cell; total moment = 2.000 μB per formula unit
1.0
5.7628 0.0000 0.0000
-2.8814 4.9908 0.0000
0.0000 0.0000 5.6930
Na U Cr O
2 1 1 8
Cartesian
2.8814 1.6636 0.0698 Na
0.0000 3.3272 5.6232 Na
0.0000 0.0000 2.8465 U
0.0000 0.0000 0.0000 Cr
2.8814 3.5550 4.4086 O
1.2434 0.7178 4.4086 O
4.5195 0.7178 4.4086 O
0.0000 1.4357 1.2844 O
1.6381 4.2729 1.2844 O
-1.6381 4.2729 1.2844 O
2.8814 1.6636 2.4559 O
0.0000 3.3272 3.2371 O